# 1
Computed, not measured: a geometry-optimized Li4TlPd2Pb structure at the GGA-PBE level of DFT.

```
Li4TlPd2Pb
1.0
4.566 0.000 0.000
0.000 4.566 0.000
0.000 0.000 6.442
Li Pb Pd Tl
4 1 2 1
direct
0.000 0.000 0.000
0.000 0.500 0.251
0.500 0.500 0.500
0.500 0.000 0.749
0.500 0.500 0.000
0.500 0.000 0.249
0.000 0.500 0.751
0.000 0.000 0.500
```



# 2
Computed, not measured: a geometry-optimized LiPmPb structure at the GGA-PBE level of DFT.

```
LiPmPb
1.0
1.373 -4.930 -0.222
-2.862 -3.563 2.316
-2.743 -3.299 -2.799
Li Pb Pm
1 1 1
direct
0.250 0.250 0.250
0.750 0.750 0.750
0.000 0.000 0.000
```

## Properties
Offset from the most stable computed form, eV/atom: 0.526



| no. | final energy (Ha/atom) | calculated density (Mg/m³) |
| --- | --- | --- |
| 1 | -0.12539 | 8.06 |
| 2 | -0.12613 | 6.27 |